(1)
{"formula": "TbPm2F11", "functional": "PBE-GGA", "state": "relaxed", "lattice": [[-4.315, 5.208, 5.666], [4.315, -5.208, 5.666], [4.315, 5.208, -5.666]], "species": ["Tb", "Tb", "Pm", "Pm", "Pm", "Pm", "F", "F", "F", "F", "F", "F", "F", "F", "F", "F", "F", "F", "F", "F", "F", "F", "F", "F", "F", "F", "F", "F"], "frac_coords": [[0.250, 0.250, 0.000], [0.750, 0.750, 0.000], [0.190, 0.663, 0.853], [0.310, 0.163, 0.472], [0.690, 0.837, 0.528], [0.810, 0.337, 0.147], [0.000, 0.500, 0.500], [0.023, 0.954, 0.270], [0.060, 0.332, 0.125], [0.184, 0.454, 0.931], [0.189, 0.393, 0.582], [0.207, 0.935, 0.875], [0.293, 0.168, 0.728], [0.311, 0.893, 0.204], [0.316, 0.247, 0.270], [0.440, 0.565, 0.272], [0.477, 0.747, 0.931], [0.500, 0.000, 0.500], [0.523, 0.253, 0.069], [0.560, 0.435, 0.728], [0.684, 0.753, 0.730], [0.689, 0.107, 0.796], [0.707, 0.832, 0.272], [0.793, 0.065, 0.125], [0.811, 0.607, 0.418], [0.816, 0.546, 0.069], [0.940, 0.668, 0.875], [0.977, 0.046, 0.730]], "e_form_raw_ev_per_atom": -3.4245, "space_group": "Ibam (72)"}

(2)
{"formula": "Tb2PmF", "functional": "PBE-GGA", "state": "relaxed", "lattice": [[1.822, 1.052, 9.378], [-1.822, 1.052, 9.378], [0.000, -2.104, 9.378]], "species": ["Tb", "Tb", "Pm", "F"], "frac_coords": [[0.119, 0.119, 0.119], [0.881, 0.881, 0.881], [0.000, 0.000, 0.000], [0.500, 0.500, 0.500]], "e_form_raw_ev_per_atom": -0.8946, "space_group": "R-3m (166)"}

(3)
{"formula": "TbPm2F8", "functional": "PBE-GGA", "state": "relaxed", "lattice": [[7.565, -1.876, 0.000], [7.565, 1.876, 0.000], [-2.040, 0.000, 5.312]], "species": ["Tb", "Pm", "Pm", "F", "F", "F", "F", "F", "F", "F", "F"], "frac_coords": [[0.000, 0.000, 0.000], [0.325, 0.325, 0.324], [0.675, 0.675, 0.676], [0.092, 0.092, 0.436], [0.174, 0.174, 0.960], [0.276, 0.276, 0.672], [0.459, 0.459, 0.211], [0.541, 0.541, 0.789], [0.724, 0.724, 0.328], [0.826, 0.826, 0.040], [0.908, 0.908, 0.564]], "e_form_raw_ev_per_atom": -3.8504, "space_group": "C2/m (12)"}

(4)
{"formula": "Pm2TcF", "functional": "PBE-GGA", "state": "relaxed", "lattice": [[3.369, 0.000, 0.000], [0.000, 3.369, 0.000], [0.000, 0.000, 7.441]], "species": ["Pm", "Pm", "Tc", "F"], "frac_coords": [[0.000, 0.000, 0.236], [0.000, 0.000, 0.764], [0.500, 0.500, 0.000], [0.500, 0.500, 0.500]], "e_form_raw_ev_per_atom": -1.0131, "space_group": "P4/mmm (123)"}

(5)
{"formula": "Pm12Tc5F3", "functional": "PBE-GGA", "state": "relaxed", "lattice": [[-8.423, 8.423, 8.423], [8.423, -8.423, 8.423], [8.423, 8.423, -8.423]], "species": ["Pm", "Pm", "Pm", "Pm", "Pm", "Pm", "Pm", "Pm", "Pm", "Pm", "Pm", "Pm", "Pm", "Pm", "Pm", "Pm", "Pm", "Pm", "Pm", "Pm", "Pm", "Pm", "Pm", "Pm", "Pm", "Pm", "Pm", "Pm", "Pm", "Pm", "Pm", "Pm", "Pm", "Pm", "Pm", "Pm", "Pm", "Pm", "Pm", "Pm", "Pm", "Pm", "Pm", "Pm", "Pm", "Pm", "Pm", "Pm", "Tc", "Tc", "Tc", "Tc", "Tc", "Tc", "Tc", "Tc", "Tc", "Tc", "Tc", "Tc", "Tc", "Tc", "Tc", "Tc", "Tc", "Tc", "Tc", "Tc", "F", "F", "F", "F", "F", "F", "F", "F", "F", "F", "F", "F"], "frac_coords": [[0.030, 0.208, 0.119], [0.030, 0.322, 0.911], [0.089, 0.619, 0.411], [0.089, 0.708, 0.678], [0.089, 0.881, 0.411], [0.089, 0.970, 0.678], [0.119, 0.030, 0.208], [0.119, 0.589, 0.911], [0.178, 0.208, 0.589], [0.178, 0.470, 0.589], [0.208, 0.119, 0.030], [0.208, 0.589, 0.178], [0.292, 0.322, 0.911], [0.292, 0.470, 0.381], [0.322, 0.911, 0.030], [0.322, 0.911, 0.292], [0.381, 0.292, 0.470], [0.381, 0.589, 0.911], [0.411, 0.089, 0.619], [0.411, 0.089, 0.881], [0.411, 0.822, 0.530], [0.411, 0.822, 0.792], [0.470, 0.381, 0.292], [0.470, 0.589, 0.178], [0.530, 0.411, 0.822], [0.530, 0.619, 0.708], [0.589, 0.178, 0.208], [0.589, 0.178, 0.470], [0.589, 0.911, 0.119], [0.589, 0.911, 0.381], [0.619, 0.411, 0.089], [0.619, 0.708, 0.530], [0.678, 0.089, 0.708], [0.678, 0.089, 0.970], [0.708, 0.530, 0.619], [0.708, 0.678, 0.089], [0.792, 0.411, 0.822], [0.792, 0.881, 0.970], [0.822, 0.530, 0.411], [0.822, 0.792, 0.411], [0.881, 0.411, 0.089], [0.881, 0.970, 0.792], [0.911, 0.030, 0.322], [0.911, 0.119, 0.589], [0.911, 0.292, 0.322], [0.911, 0.381, 0.589], [0.970, 0.678, 0.089], [0.970, 0.792, 0.881], [0.000, 0.000, 0.000], [0.000, 0.000, 0.500], [0.000, 0.500, 0.000], [0.000, 0.500, 0.500], [0.125, 0.750, 0.875], [0.125, 0.875, 0.250], [0.250, 0.125, 0.875], [0.250, 0.625, 0.375], [0.375, 0.250, 0.625], [0.375, 0.625, 0.750], [0.500, 0.000, 0.000], [0.500, 0.000, 0.500], [0.500, 0.500, 0.000], [0.500, 0.500, 0.500], [0.625, 0.375, 0.250], [0.625, 0.750, 0.375], [0.750, 0.375, 0.625], [0.750, 0.875, 0.125], [0.875, 0.125, 0.750], [0.875, 0.250, 0.125], [0.125, 0.250, 0.375], [0.125, 0.375, 0.750], [0.250, 0.375, 0.125], [0.250, 0.875, 0.625], [0.375, 0.125, 0.250], [0.375, 0.750, 0.125], [0.625, 0.250, 0.875], [0.625, 0.875, 0.750], [0.750, 0.125, 0.375], [0.750, 0.625, 0.875], [0.875, 0.625, 0.250], [0.875, 0.750, 0.625]], "e_form_raw_ev_per_atom": -0.0517, "space_group": "Ia-3d (230)"}

(6)
{"formula": "Pm2TcF", "functional": "PBE-GGA", "state": "relaxed", "lattice": [[1.594, 0.920, 9.355], [-1.594, 0.920, 9.355], [0.000, -1.841, 9.355]], "species": ["Pm", "Pm", "Tc", "F"], "frac_coords": [[0.096, 0.096, 0.096], [0.904, 0.904, 0.904], [0.000, 0.000, 0.000], [0.500, 0.500, 0.500]], "e_form_raw_ev_per_atom": -0.5245, "space_group": "R-3m (166)"}

(7)
{"formula": "PmTcF", "functional": "PBE-GGA", "state": "relaxed", "lattice": [[4.126, 0.000, 0.000], [2.059, 3.587, 0.000], [0.252, 2.237, 8.158]], "species": ["Pm", "Pm", "Tc", "Tc", "F", "F"], "frac_coords": [[0.033, 0.344, 0.278], [0.967, 0.656, 0.722], [0.339, 0.821, 0.018], [0.661, 0.179, 0.982], [0.103, 0.733, 0.431], [0.897, 0.267, 0.569]], "e_form_raw_ev_per_atom": -1.6869, "space_group": "P-1 (2)"}

(8)
{"formula": "Pm3Te3F2", "functional": "PBE-GGA", "state": "relaxed", "lattice": [[2.056, -6.473, 0.000], [2.056, 6.473, 0.000], [0.000, 0.000, 15.645]], "species": ["Pm", "Pm", "Pm", "Pm", "Pm", "Pm", "Te", "Te", "Te", "Te", "Te", "Te", "F", "F", "F", "F"], "frac_coords": [[0.132, 0.868, 0.548], [0.132, 0.868, 0.952], [0.136, 0.864, 0.250], [0.864, 0.136, 0.750], [0.868, 0.132, 0.048], [0.868, 0.132, 0.452], [0.179, 0.821, 0.750], [0.449, 0.551, 0.610], [0.449, 0.551, 0.890], [0.551, 0.449, 0.110], [0.551, 0.449, 0.390], [0.821, 0.179, 0.250], [0.272, 0.728, 0.056], [0.272, 0.728, 0.444], [0.728, 0.272, 0.556], [0.728, 0.272, 0.944]], "e_form_raw_ev_per_atom": -2.2580, "space_group": "Cmcm (63)"}